P | A plane-wave DFT calculation with GGA-PBE was carried out for crystalline CdHN2F at its relaxed geometry.

Its density of states at the Fermi level is 1.353 states/eV/f.u.

It has space group P4/mmm (No. 123), with a = 3.155 Å, b = 3.155 Å, c = 4.740 Å, α = 90.00°, β = 90.00° and γ = 90.00°. Symmetry generates all atoms from Cd at (0.000, 0.000, 0.000), H at (0.500, 0.500, 0.500), N at (0.000, 0.500, 0.500) and F at (0.500, 0.500, 0.000).

***

Q | A plane-wave DFT calculation with GGA-PBE was carried out for crystalline CdHN2F at its relaxed geometry.

Its density of states at the Fermi level is 2.384 states/eV/f.u.

It has space group P4/mmm (No. 123), with a = 4.520 Å, b = 4.520 Å, c = 4.487 Å, α = 90.00°, β = 90.00° and γ = 90.00°. Symmetry generates all atoms from Cd at (0.000, 0.000, 0.000), H at (0.500, 0.500, 0.500), N at (0.000, 0.500, 0.000) and F at (0.000, 0.000, 0.500).

***

Stability, highest: P